1.
## TaMnCo6 (SCAN)

Data for a PBEsol-optimized structure of TaMnCo6.

a = 6.094 Å, b = 6.094 Å, c = 9.964 Å
α = 90.00°, β = 90.00°, γ = 109.64°
Site moments in Bohr magnetons follow the coordinates.
Sites, in units of the cell vectors:
Co 0.755 0.245 0.259  -1.01
Co 0.636 0.882 0.130  -0.72
Co 0.884 0.629 0.379  -1.16
Co 0.245 0.755 0.259  -1.01
Co 0.000 0.000 0.500  -1.50
Co 0.364 0.118 0.130  -0.72
Co 0.371 0.116 0.379  -1.16
Co 0.882 0.636 0.870  -0.72
Co 0.500 0.500 0.000  -0.39
Co 0.500 0.500 0.500  -0.93
Co 0.884 0.629 0.621  -1.16
Co 0.629 0.884 0.621  -1.16
Co 0.882 0.636 0.130  -0.72
Co 0.364 0.118 0.870  -0.72
Co 0.116 0.371 0.379  -1.16
Co 0.245 0.755 0.741  -1.01
Co 0.118 0.364 0.870  -0.72
Co 0.629 0.884 0.379  -1.16
Co 0.116 0.371 0.621  -1.16
Co 0.371 0.116 0.621  -1.16
Co 0.755 0.245 0.741  -1.01
Co 0.118 0.364 0.130  -0.72
Co 0.000 0.000 0.000  -1.24
Co 0.636 0.882 0.870  -0.72
Ta 0.745 0.255 0.000  0.35
Ta 0.500 0.500 0.750  0.38
Ta 0.255 0.745 0.000  0.35
Ta 0.500 0.500 0.250  0.38
Mn 0.000 0.000 0.254  3.46
Mn 0.744 0.256 0.500  3.45
Mn 0.256 0.744 0.500  3.45
Mn 0.000 0.000 0.746  3.46

**Raw total energy**: -23.559 eV/atom
**Crystal system**: orthorhombic
**Calculated formation energy**: 2 kJ per mole of atoms

=====

2.
## CaMg2 (SCAN)

Data for a PBEsol-optimized structure of CaMg2.

a = 3.678 Å, b = 3.678 Å, c = 6.617 Å
α = 106.14°, β = 106.14°, γ = 90.00°
Sites, in units of the cell vectors:
Mg 0.182 0.182 0.365
Mg 0.818 0.818 0.635
Ca 0.500 0.500 0.000

**Raw total energy**: -6.577 eV/atom
**Crystal system**: tetragonal
**Calculated formation energy**: -4 kJ per mole of atoms

=====

3.
## MnSbTe2 (SCAN)

Data for a PBEsol-optimized structure of MnSbTe2.

a = 3.113 Å, b = 3.113 Å, c = 10.282 Å
α = 90.00°, β = 90.00°, γ = 102.16°
Site moments in Bohr magnetons follow the coordinates.
Sites, in units of the cell vectors:
Mn 0.000 0.000 0.500  3.59
Te 0.500 0.500 0.680  -0.07
Te 0.000 0.000 0.004  -0.03
Sb 0.500 0.500 0.316  -0.09

**Raw total energy**: -32.474 eV/atom
**Raw formation energy**: 0.031 eV per atom
**Crystal system**: orthorhombic

=====

4.
## Ta3MnH (SCAN)

Data for a PBEsol-optimized structure of Ta3MnH.

a = 4.525 Å, b = 4.525 Å, c = 4.525 Å
α = 90.00°, β = 90.00°, γ = 90.00°
Sites, in units of the cell vectors:
Mn 0.000 0.000 0.000
Ta 0.000 0.500 0.000
Ta 0.500 0.000 0.000
Ta 0.000 0.000 0.500
H 0.500 0.500 0.500

**Raw total energy**: -42.712 eV/atom
**Crystal system**: cubic

=====

5.
## LiLaIF2 (SCAN)

Data for a PBEsol-optimized structure of LiLaIF2.

a = 4.562 Å, b = 4.562 Å, c = 6.763 Å
α = 90.00°, β = 90.00°, γ = 90.00°
Site moments in Bohr magnetons follow the coordinates.
Sites, in units of the cell vectors:
La 0.000 0.000 0.000  0.14
F 0.500 0.000 0.000  0.02
F 0.000 0.500 0.000  0.02
I 0.000 0.000 0.500  0.01
Li 0.500 0.500 0.500  0.03

**Raw total energy**: -20.353 eV/atom
**Raw formation energy**: -2.489 eV per atom
**Crystal system**: tetragonal

=====

6.
## MgFeW2 (SCAN)

Data for a PBEsol-optimized structure of MgFeW2.

a = 3.189 Å, b = 4.210 Å, c = 4.395 Å
α = 90.00°, β = 90.00°, γ = 90.00°
Site moments in Bohr magnetons follow the coordinates.
Sites, in units of the cell vectors:
Mg 0.000 0.500 0.500  -0.01
W 0.500 0.500 0.000  0.10
W 0.000 0.000 0.000  -0.22
Fe 0.500 0.000 0.500  2.58

**Raw total energy**: -40.190 eV/atom
**Crystal system**: orthorhombic
**Calculated formation energy**: 41 kJ per mole of atoms

=====

7.
## Ca5P3HO13 (SCAN)

Data for a PBEsol-optimized structure of Ca5P3HO13.

a = 6.842 Å, b = 9.403 Å, c = 9.403 Å
α = 120.00°, β = 90.00°, γ = 90.00°
Sites, in units of the cell vectors:
O 0.430 0.915 0.253
O 0.748 0.486 0.329
O 0.565 0.652 0.909
O 0.754 0.465 0.590
O 0.065 0.909 0.258
O 0.065 0.348 0.091
O 0.254 0.875 0.465
O 0.565 0.258 0.348
O 0.065 0.742 0.652
O 0.754 0.125 0.535
O 0.930 0.662 0.915
O 0.213 0.000 0.000
O 0.430 0.747 0.662
O 0.254 0.590 0.125
O 0.930 0.085 0.747
O 0.565 0.091 0.742
O 0.254 0.535 0.410
O 0.248 0.156 0.486
O 0.430 0.338 0.085
O 0.248 0.514 0.671
O 0.748 0.844 0.514
O 0.713 0.000 0.000
O 0.930 0.253 0.338
O 0.248 0.329 0.844
O 0.748 0.671 0.156
O 0.754 0.410 0.875
P 0.249 0.399 0.031
P 0.249 0.632 0.601
P 0.249 0.969 0.368
P 0.749 0.031 0.632
P 0.749 0.368 0.399
P 0.749 0.601 0.969
H 0.570 0.000 0.000
H 0.070 0.000 0.000
Ca 0.750 0.252 0.004
Ca 0.500 0.333 0.667
Ca 0.502 0.667 0.333
Ca 0.250 0.248 0.252
Ca 0.002 0.333 0.667
Ca 0.750 0.752 0.748
Ca 0.750 0.996 0.248
Ca 0.000 0.667 0.333
Ca 0.250 0.748 0.996
Ca 0.250 0.004 0.752

**Raw total energy**: -10.555 eV/atom
**Crystal system**: hexagonal

=====

8.
## CsZn2Cu (SCAN)

Data for a PBEsol-optimized structure of CsZn2Cu.

a = 5.220 Å, b = 5.220 Å, c = 5.220 Å
α = 60.00°, β = 60.00°, γ = 60.00°
Sites, in units of the cell vectors:
Cs 0.500 0.500 0.500
Zn 0.750 0.750 0.750
Zn 0.250 0.250 0.250
Cu 0.000 0.000 0.000

**Raw total energy**: -19.281 eV/atom
**Crystal system**: cubic
**Calculated formation energy**: 70 kJ per mole of atoms